Density functional theory data (PBE) for an optimized crystal structure of MgMn2Fe.

abc: 8.8297 2.7275 4.8396
angles: 90.00 99.25 90.00
Space group C2/m (No. 12)
Inequivalent atoms, fractional coordinates:
Mg  0.0000  0.0000  0.0000
Mn  0.2432  0.0000  0.7261
Fe  0.0000  0.5000  0.5000

## Properties
- DFT formation energy (eV/atom) = 0.35
- density of states at the Fermi level (states/eV/f.u.) = 3.33
- crystal system = monoclinic
- total magnetization (μB per formula unit) = 8.81

---

Density functional theory data (PBE) for an optimized crystal structure of MgMnFe2Ni.

abc: 4.3745 4.3745 4.5275
angles: 90.00 90.00 90.00
Space group P4/mmm (No. 123)
Inequivalent atoms, fractional coordinates:
Mg  0.0000  0.0000  0.0000
Mn  0.0000  0.0000  0.5000
Fe  0.0000  0.5000  0.0000
Ni  0.5000  0.5000  0.5000

## Properties
- DFT formation energy (eV/atom) = 1.68
- density of states at the Fermi level (states/eV/f.u.) = 4.70
- crystal system = tetragonal
- total magnetization (μB per formula unit) = 9.48